Material: Cd2CuMo
Method: DFT, PBE
State: relaxed

```
Cd2CuMo
1.0
2.8133 0.0000 0.0000
0.0000 4.0436 0.0000
0.0000 0.0000 6.0658
Cd Cu Mo
2 1 1
direct
0.0000 0.0000 0.2398 Cd
0.0000 0.0000 0.7602 Cd
0.5000 0.5000 0.0000 Cu
0.5000 0.5000 0.5000 Mo
```

- distance to the lowest polymorph of the same formula (meV/atom) = 181
- energy relative to the elements (eV per atom) = 0.43